# Ce3PmOs2

Ce3PmOs2 after structural relaxation (GGA-PBE, the Alexandria database).

Computed properties:
- ΔE_f: -0.077 eV/atom
- Raw total energy: -7.5790 eV per atom
- V: 281.8 Å³/cell

Unit cell a=4.453 b=8.773 c=8.546 alpha=118.17 beta=90.00 gamma=104.70
Element x y z (fractional)
Ce 0.378 0.756 0.308
Ce 0.080 0.159 0.415
Pm 0.108 0.217 0.023
Os 0.766 0.533 0.109
Ce 0.713 0.426 0.362
Ce 0.920 0.841 0.585
Os 0.523 0.047 0.194
Pm 0.892 0.783 0.977
Ce 0.287 0.574 0.638
Os 0.234 0.467 0.891
Os 0.477 0.953 0.806
Ce 0.622 0.244 0.692

***

# CaTeRhO6

CaTeRhO6 after structural relaxation (GGA-PBE, the Alexandria database).

Computed properties:
- E_form (uncorrected): -1.449 eV/atom
- Raw total energy: -6.1425 eV per atom
- V: 241.9 Å³/cell

Unit cell a=5.250 b=5.250 c=10.133 alpha=90.00 beta=90.00 gamma=120.00
Element x y z (fractional)
O 0.361 0.368 0.857
O 0.639 0.632 0.143
Rh 0.667 0.333 0.750
O 0.368 0.361 0.357
O 0.006 0.368 0.643
O 0.994 0.632 0.357
Ca 0.000 0.000 0.000
Rh 0.333 0.667 0.250
Te 0.667 0.333 0.250
Te 0.333 0.667 0.750
O 0.632 0.994 0.857
O 0.361 0.994 0.643
O 0.994 0.361 0.143
O 0.632 0.639 0.643
O 0.006 0.639 0.857
O 0.639 0.006 0.357
O 0.368 0.006 0.143
Ca 0.000 0.000 0.500

***

# EuScCdAg

EuScCdAg after structural relaxation (GGA-PBE, the Alexandria database).

Computed properties:
- ΔE_f: -0.199 eV/atom
- Raw total energy: -5.2917 eV per atom
- V: 99.6 Å³/cell

Unit cell a=5.202 b=5.202 c=5.202 alpha=60.00 beta=60.00 gamma=60.00
Element x y z (fractional)
Ag 0.750 0.750 0.750
Cd 0.250 0.250 0.250
Eu 0.500 0.500 0.500
Sc 0.000 0.000 0.000

***

# RbCd2SnRu

RbCd2SnRu after structural relaxation (GGA-PBE, the Alexandria database).

Computed properties:
- ΔE_f: -0.023 eV/atom
- Raw total energy: -3.2381 eV per atom
- V: 147.2 Å³/cell

Unit cell a=5.383 b=5.383 c=5.079 alpha=90.00 beta=90.00 gamma=90.00
Element x y z (fractional)
Ru 0.000 0.000 0.000
Cd 0.000 0.500 0.000
Sn 0.000 0.000 0.500
Cd 0.500 0.000 0.000
Rb 0.500 0.500 0.500

***

# LiIn2Ag2

LiIn2Ag2 after structural relaxation (GGA-PBE, the Alexandria database).

Computed properties:
- ΔE_f: -0.067 eV/atom
- Energy above the lowest structure with this stoichiometry: 0.432 eV per formula unit
- Raw total energy: -2.6854 eV per atom
- V: 215.9 Å³/cell

Unit cell a=7.985 b=7.985 c=3.386 alpha=90.00 beta=90.00 gamma=90.00
Element x y z (fractional)
Li 0.000 0.000 0.000
In 0.669 0.831 0.500
Ag 0.130 0.370 0.000
In 0.169 0.669 0.500
In 0.831 0.331 0.500
Ag 0.630 0.130 0.000
Li 0.500 0.500 0.000
Ag 0.870 0.630 0.000
Ag 0.370 0.870 0.000
In 0.331 0.169 0.500

***

# LaDyNi

LaDyNi after structural relaxation (GGA-PBE, the Alexandria database).

Computed properties:
- ΔE_f: -0.099 eV/atom
- Energy above the lowest structure with this stoichiometry: 0.525 eV per formula unit
- Raw total energy: -5.2030 eV per atom
- V: 81.4 Å³/cell

Unit cell a=4.865 b=4.865 c=4.865 alpha=60.00 beta=60.00 gamma=60.00
Element x y z (fractional)
Dy 0.000 0.000 0.000
La 0.500 0.500 0.500
Ni 0.250 0.250 0.250

***

# LaDy2Er9

LaDy2Er9 after structural relaxation (GGA-PBE, the Alexandria database).

Computed properties:
- ΔE_f: 0.029 eV/atom
- Energy above the lowest structure with this stoichiometry: 0.000 eV per formula unit
- Raw total energy: -4.5712 eV per atom
- V: 374.9 Å³/cell

Unit cell a=4.999 b=4.999 c=15.002 alpha=90.00 beta=90.00 gamma=90.00
Element x y z (fractional)
Er 0.500 0.000 0.171
Er 0.000 0.500 0.171
Er 0.500 0.500 0.664
Er 0.500 0.500 0.000
Dy 0.000 0.000 0.334
Er 0.000 0.500 0.500
Er 0.500 0.000 0.829
Er 0.500 0.000 0.500
La 0.000 0.000 0.000
Dy 0.000 0.000 0.666
Er 0.000 0.500 0.829
Er 0.500 0.500 0.336

***

# H8Rh4Pb

H8Rh4Pb after structural relaxation (GGA-PBE, the Alexandria database).

Computed properties:
- Raw total energy: -4.5834 eV per atom
- V: 147.7 Å³/cell

Unit cell a=5.663 b=5.647 c=6.260 alpha=90.39 beta=116.71 gamma=120.03
Element x y z (fractional)
Pb 0.000 0.500 0.500
H 0.055 0.267 0.844
H 0.055 0.787 0.844
H 0.945 0.733 0.156
H 0.559 0.279 0.839
H 0.945 0.213 0.156
Rh 0.500 0.500 0.000
H 0.577 0.787 0.845
H 0.441 0.721 0.161
Rh 0.000 0.500 0.000
Rh 0.000 0.000 0.000
H 0.423 0.213 0.155
Rh 0.500 0.000 0.000

***

# AcPm4Sm4

AcPm4Sm4 after structural relaxation (GGA-PBE, the Alexandria database).

Computed properties:
- ΔE_f: 0.025 eV/atom
- Raw total energy: -4.6407 eV per atom
- V: 316.7 Å³/cell

Unit cell a=5.199 b=8.226 c=8.226 alpha=84.27 beta=71.58 gamma=71.58
Element x y z (fractional)
Pm 0.336 0.664 0.664
Sm 0.330 0.000 0.339
Ac 0.000 0.000 0.000
Pm 0.000 0.336 0.664
Sm 0.670 0.000 0.661
Pm 0.000 0.664 0.336
Sm 0.670 0.661 0.000
Sm 0.330 0.339 0.000
Pm 0.664 0.336 0.336

***

# Pm4ZnCd3

Pm4ZnCd3 after structural relaxation (GGA-PBE, the Alexandria database).

Computed properties:
- ΔE_f: -0.259 eV/atom
- Energy above the lowest structure with this stoichiometry: 0.472 eV per formula unit
- Raw total energy: -3.1370 eV per atom
- V: 219.3 Å³/cell

Unit cell a=3.606 b=4.908 c=12.392 alpha=90.00 beta=90.00 gamma=90.00
Element x y z (fractional)
Pm 0.500 0.500 0.334
Cd 0.000 0.000 0.429
Pm 0.500 0.000 0.661
Cd 0.000 0.500 0.569
Pm 0.000 0.500 0.848
Pm 0.000 0.000 0.154
Zn 0.500 0.500 0.071
Cd 0.500 0.000 0.934

***

# RbVPb2Cl8

RbVPb2Cl8 after structural relaxation (GGA-PBE, the Alexandria database).

Computed properties:
- E_form (uncorrected): -1.266 eV/atom
- Raw total energy: -3.9555 eV per atom
- V: 372.4 Å³/cell

Unit cell a=6.637 b=6.376 c=8.802 alpha=89.69 beta=89.98 gamma=88.28
Element x y z (fractional)
Cl 0.389 0.268 0.501
Cl 0.855 0.225 0.806
V 0.000 0.000 0.000
Cl 0.147 0.777 0.808
Cl 0.853 0.223 0.192
Cl 0.611 0.732 0.499
Pb 0.500 0.498 0.760
Cl 0.145 0.775 0.194
Cl 0.296 0.215 0.001
Cl 0.704 0.785 0.999
Rb 0.000 0.000 0.500
Pb 0.500 0.502 0.240

***

# Mg2CdCu2Pd5

Mg2CdCu2Pd5 after structural relaxation (GGA-PBE, the Alexandria database).

Computed properties:
- ΔE_f: -0.347 eV/atom
- Raw total energy: -4.1726 eV per atom
- V: 329.1 Å³/cell

Unit cell a=3.941 b=9.138 c=9.138 alpha=90.00 beta=90.00 gamma=90.00
Element x y z (fractional)
Mg 0.000 0.671 0.171
Mg 0.000 0.329 0.829
Cu 0.000 0.376 0.124
Pd 0.500 0.703 0.420
Pd 0.500 0.080 0.797
Pd 0.500 0.000 0.500
Cu 0.000 0.624 0.876
Pd 0.500 0.580 0.703
Pd 0.500 0.920 0.203
Cu 0.000 0.876 0.376
Pd 0.500 0.420 0.297
Mg 0.000 0.829 0.671
Mg 0.000 0.171 0.329
Pd 0.500 0.297 0.580
Pd 0.500 0.203 0.080
Pd 0.500 0.500 0.000
Pd 0.500 0.797 0.920
Cu 0.000 0.124 0.624
Cd 0.000 0.000 0.000
Cd 0.000 0.500 0.500

***

no.,theoretical density (g/cm³)
1,11.1
2,5.0
3,7.0
4,6.0
5,7.0
6,7.3
7,8.7
8,7.0
9,7.4
10,7.4
11,3.7
12,8.3